[1]
{"formula": "SrMn2Ru", "functional": "PBEsol", "state": "relaxed", "lattice_angstrom": [[-2.697, 1.887, -0.615], [-0.805, -2.382, -3.779], [-2.567, -2.896, 2.372]], "species": ["Mn", "Mn", "Ru", "Sr"], "frac_coords": [[0.000, 0.000, 0.500], [0.000, 0.500, 0.000], [0.500, 0.500, 0.500], [0.500, 0.000, 0.000]], "dft_energy_ev_per_atom": -6.92, "formation_energy_ev_per_atom": 0.968, "e_above_lowest_polymorph_mev_per_atom": 464.2}

=====

[2]
{"formula": "Sr3MnRu", "functional": "PBEsol", "state": "relaxed", "lattice_angstrom": [[-4.644, 2.452, -1.837], [-2.493, -4.963, -0.323], [-1.781, 0.554, 5.242]], "species": ["Ru", "Mn", "Sr", "Sr", "Sr"], "frac_coords": [[0.000, 0.000, 0.000], [0.500, 0.500, 0.500], [0.000, 0.500, 0.000], [0.000, 0.000, 0.500], [0.500, 0.000, 0.000]], "dft_energy_ev_per_atom": -4.32, "formation_energy_ev_per_atom": 0.776}

=====

[3]
{"formula": "SrMn3Ru", "functional": "PBEsol", "state": "relaxed", "lattice_angstrom": [[4.779, 0.000, 0.000], [0.000, 4.779, 0.000], [0.000, 0.000, 4.779]], "species": ["Ru", "Mn", "Mn", "Mn", "Sr"], "frac_coords": [[0.000, 0.000, 0.000], [0.000, 0.500, 0.000], [0.000, 0.000, 0.500], [0.500, 0.000, 0.000], [0.500, 0.500, 0.500]], "dft_energy_ev_per_atom": -7.36, "formation_energy_ev_per_atom": 0.904}

=====

[4]
{"formula": "Sr2MnRu", "functional": "PBEsol", "state": "relaxed", "lattice_angstrom": [[3.842, 0.000, 0.000], [0.000, 5.165, 0.000], [-1.921, -2.582, 5.159]], "species": ["Mn", "Ru", "Sr", "Sr"], "frac_coords": [[0.436, 0.436, 0.871], [0.811, 0.311, 0.621], [0.023, 0.023, 0.046], [0.231, 0.731, 0.462]], "dft_energy_ev_per_atom": -5.38, "formation_energy_ev_per_atom": 0.520}

=====

[5]
{"formula": "TaMn3Ru", "functional": "PBEsol", "state": "relaxed", "lattice_angstrom": [[-1.328, 3.119, 2.704], [1.183, -2.433, 3.389], [3.955, 1.776, -0.106]], "species": ["Ru", "Mn", "Mn", "Mn", "Ta"], "frac_coords": [[0.000, 0.000, 0.000], [0.000, 0.500, 0.000], [0.000, 0.000, 0.500], [0.500, 0.000, 0.000], [0.500, 0.500, 0.500]], "dft_energy_ev_per_atom": -8.89, "formation_energy_ev_per_atom": 1.511}

=====

[6]
{"formula": "TaMnRu3", "functional": "PBEsol", "state": "relaxed", "lattice_angstrom": [[4.621, 0.000, 0.000], [0.000, 4.621, 0.000], [0.000, 0.000, 4.621]], "species": ["Ru", "Ru", "Ru", "Mn", "Ta"], "frac_coords": [[0.000, 0.500, 0.000], [0.000, 0.000, 0.500], [0.500, 0.000, 0.000], [0.500, 0.500, 0.500], [0.000, 0.000, 0.000]], "dft_energy_ev_per_atom": -8.83, "formation_energy_ev_per_atom": 1.731}

=====

[7]
{"formula": "Ta3MnRu", "functional": "PBEsol", "state": "relaxed", "lattice_angstrom": [[-0.362, -2.003, 4.261], [3.539, -2.934, -1.079], [3.105, 3.111, 1.726]], "species": ["Ru", "Mn", "Ta", "Ta", "Ta"], "frac_coords": [[0.000, 0.000, 0.000], [0.500, 0.500, 0.500], [0.000, 0.500, 0.000], [0.000, 0.000, 0.500], [0.500, 0.000, 0.000]], "dft_energy_ev_per_atom": -10.14, "formation_energy_ev_per_atom": 1.381}

=====

[8]
{"formula": "Ta2MnRu", "functional": "PBEsol", "state": "relaxed", "lattice_angstrom": [[2.858, 0.000, 0.000], [1.429, 2.475, 0.000], [1.429, 0.825, 8.769]], "species": ["Mn", "Ru", "Ta", "Ta"], "frac_coords": [[0.503, 0.503, 0.490], [0.246, 0.246, 0.261], [0.995, 0.995, 0.016], [0.756, 0.756, 0.733]], "dft_energy_ev_per_atom": -11.01, "formation_energy_ev_per_atom": 0.245}

=====

[9]
{"formula": "TaMn2Ru", "functional": "PBEsol", "state": "relaxed", "lattice_angstrom": [[-2.887, 1.004, -0.281], [-1.294, -3.888, -0.599], [-0.563, -0.454, 4.164]], "species": ["Ru", "Mn", "Mn", "Ta"], "frac_coords": [[0.500, 0.500, 0.000], [0.000, 0.000, 0.000], [0.500, 0.000, 0.500], [0.000, 0.500, 0.500]], "dft_energy_ev_per_atom": -10.61, "formation_energy_ev_per_atom": -0.053, "e_above_lowest_polymorph_mev_per_atom": 0.0}

=====

[10]
{"formula": "Ta2MnRu", "functional": "PBEsol", "state": "relaxed", "lattice_angstrom": [[3.192, 0.000, 0.000], [0.000, 4.470, 0.000], [-1.596, -2.235, 4.200]], "species": ["Mn", "Ru", "Ta", "Ta"], "frac_coords": [[0.000, 0.500, 0.000], [0.500, 0.000, 0.000], [0.749, 0.749, 0.498], [0.251, 0.251, 0.502]], "dft_energy_ev_per_atom": -11.31, "formation_energy_ev_per_atom": -0.049}

=====

[11]
{"formula": "Ta2MnRu", "functional": "PBEsol", "state": "relaxed", "lattice_angstrom": [[-1.584, -2.311, -0.958], [0.302, -2.643, 1.301], [-6.247, 0.209, 5.244]], "species": ["Mn", "Ru", "Ta", "Ta"], "frac_coords": [[0.500, 0.500, 0.500], [0.000, 0.000, 0.000], [0.246, 0.246, 0.263], [0.754, 0.754, 0.737]], "dft_energy_ev_per_atom": -11.15, "formation_energy_ev_per_atom": 0.114}

=====

[12]
{"formula": "TaMn2Ru", "functional": "PBEsol", "state": "relaxed", "lattice_angstrom": [[-2.021, -1.357, 2.175], [-0.607, -3.134, -2.519], [4.428, 0.295, 1.848]], "species": ["Mn", "Mn", "Ru", "Ta"], "frac_coords": [[0.748, 0.748, 0.497], [0.252, 0.252, 0.503], [0.000, 0.500, 0.000], [0.500, 0.000, 0.000]], "dft_energy_ev_per_atom": -10.50, "formation_energy_ev_per_atom": 0.060, "e_above_lowest_polymorph_mev_per_atom": 113.1}

=====

Q: Number 10 is which compound?
A: Ta2MnRu